Entry 1:
Computed, not measured: a geometry-optimized SrNiRh2C structure at the GGA-PBE level of DFT.

Cell and atoms, written as CIF:
```
data_SrNiRh2C
_chemical_formula_sum 'Sr1 Ni1 Rh2 C1'
_cell_length_a 4.235
_cell_length_b 4.235
_cell_length_c 4.075
_cell_angle_alpha 90.00
_cell_angle_beta 90.00
_cell_angle_gamma 90.00
_space_group_name_H-M_alt 'P 1'
_space_group_IT_number 1
loop_
_space_group_symop_operation_xyz
'x,y,z'
loop_
_atom_site_label
_atom_site_type_symbol
_atom_site_fract_x
_atom_site_fract_y
_atom_site_fract_z
_atom_site_occupancy
Sr1 Sr 0.000 0.000 0.000 1
Ni1 Ni 0.500 0.500 0.000 1
Rh1 Rh 0.000 0.500 0.500 1
Rh2 Rh 0.500 0.000 0.500 1
C1 C 0.500 0.500 0.500 1
```

Calculated values
Energy = -31.4 eV for the cell shown
DOS at the Fermi energy = 1.1 states/eV/cell
Energy of formation = -0.012 eV per atom
Crystal system = tetragonal


Entry 2:
Computed, not measured: a geometry-optimized BSbTe2I structure at the GGA-PBE level of DFT.

Cell and atoms, written as CIF:
```
data_BSbTe2I
_chemical_formula_sum 'B1 Sb1 Te2 I1'
_cell_length_a 4.866
_cell_length_b 4.866
_cell_length_c 5.416
_cell_angle_alpha 90.00
_cell_angle_beta 90.00
_cell_angle_gamma 90.00
_space_group_name_H-M_alt 'P 1'
_space_group_IT_number 1
loop_
_space_group_symop_operation_xyz
'x,y,z'
loop_
_atom_site_label
_atom_site_type_symbol
_atom_site_fract_x
_atom_site_fract_y
_atom_site_fract_z
_atom_site_occupancy
B1 B 0.000 0.000 0.000 1
Sb1 Sb 0.000 0.000 0.500 1
Te1 Te 0.000 0.500 0.000 1
Te2 Te 0.500 0.000 0.000 1
I1 I 0.500 0.500 0.500 1
```

Calculated values
ΔE_f (raw) = 706.0 meV/atom
Energy = -15.1 eV for the cell shown
Energy above the lowest structure with this stoichiometry = 0.008 eV/atom
DOS at the Fermi energy = 3.6 states/eV/cell
Crystal system = tetragonal


Entry 3:
Computed, not measured: a geometry-optimized Y5ErPd6 structure at the GGA-PBE level of DFT.

Cell and atoms, written as CIF:
```
data_Y5ErPd6
_chemical_formula_sum 'Y5 Er1 Pd6'
_cell_length_a 7.903
_cell_length_b 7.903
_cell_length_c 6.914
_cell_angle_alpha 90.00
_cell_angle_beta 90.00
_cell_angle_gamma 143.00
_space_group_name_H-M_alt 'P 1'
_space_group_IT_number 1
loop_
_space_group_symop_operation_xyz
'x,y,z'
loop_
_atom_site_label
_atom_site_type_symbol
_atom_site_fract_x
_atom_site_fract_y
_atom_site_fract_z
_atom_site_occupancy
Y1 Y 0.000 0.000 0.000 1
Y2 Y 0.333 0.667 0.000 1
Y3 Y 0.333 0.667 0.500 1
Y4 Y 0.667 0.333 0.000 1
Y5 Y 0.667 0.333 0.500 1
Er1 Er 0.000 0.000 0.500 1
Pd1 Pd 0.165 0.835 0.251 1
Pd2 Pd 0.165 0.835 0.749 1
Pd3 Pd 0.500 0.500 0.254 1
Pd4 Pd 0.500 0.500 0.746 1
Pd5 Pd 0.835 0.165 0.251 1
Pd6 Pd 0.835 0.165 0.749 1
```

Calculated values
Energy = -78.6 eV for the cell shown
DOS at the Fermi energy = 8.2 states/eV/cell
Energy of formation = -0.881 eV per atom
Crystal system = orthorhombic


Entry 4:
Computed, not measured: a geometry-optimized TbAl8Cu4 structure at the GGA-PBE level of DFT.

Cell and atoms, written as CIF:
```
data_TbAl8Cu4
_chemical_formula_sum 'Tb1 Al8 Cu4'
_cell_length_a 6.747
_cell_length_b 6.747
_cell_length_c 6.747
_cell_angle_alpha 98.31
_cell_angle_beta 98.31
_cell_angle_gamma 135.31
_space_group_name_H-M_alt 'P 1'
_space_group_IT_number 1
loop_
_space_group_symop_operation_xyz
'x,y,z'
loop_
_atom_site_label
_atom_site_type_symbol
_atom_site_fract_x
_atom_site_fract_y
_atom_site_fract_z
_atom_site_occupancy
Tb1 Tb 0.000 0.000 0.000 1
Al1 Al 0.000 0.348 0.348 1
Al2 Al 0.000 0.652 0.652 1
Al3 Al 0.282 0.500 0.782 1
Al4 Al 0.348 0.000 0.348 1
Al5 Al 0.500 0.282 0.782 1
Al6 Al 0.500 0.718 0.218 1
Al7 Al 0.652 0.000 0.652 1
Al8 Al 0.718 0.500 0.218 1
Cu1 Cu 0.000 0.000 0.500 1
Cu2 Cu 0.000 0.500 0.000 1
Cu3 Cu 0.500 0.000 0.000 1
Cu4 Cu 0.500 0.500 0.500 1
```

Calculated values
Energy = -55.0 eV for the cell shown
DOS at the Fermi energy = 2.6 states/eV/cell
Energy of formation = -0.313 eV per atom
Crystal system = tetragonal


Entry 5:
Computed, not measured: a geometry-optimized FeHg2Pt structure at the GGA-PBE level of DFT.

Cell and atoms, written as CIF:
```
data_FeHg2Pt
_chemical_formula_sum 'Fe1 Hg2 Pt1'
_cell_length_a 2.935
_cell_length_b 4.444
_cell_length_c 5.733
_cell_angle_alpha 90.00
_cell_angle_beta 104.75
_cell_angle_gamma 90.00
_space_group_name_H-M_alt 'P 1'
_space_group_IT_number 1
loop_
_space_group_symop_operation_xyz
'x,y,z'
loop_
_atom_site_label
_atom_site_type_symbol
_atom_site_fract_x
_atom_site_fract_y
_atom_site_fract_z
_atom_site_occupancy
Fe1 Fe 0.000 0.000 0.000 1
Hg1 Hg 0.264 0.000 0.536 1
Hg2 Hg 0.609 0.500 0.221 1
Pt1 Pt 0.876 0.500 0.764 1
```

Calculated values
Energy = -14.0 eV for the cell shown
DOS at the Fermi energy = 3.0 states/eV/cell
Energy of formation = 0.267 eV per atom
Crystal system = monoclinic


Entry 6:
Computed, not measured: a geometry-optimized CsScTe2 structure at the GGA-PBE level of DFT.

Cell and atoms, written as CIF:
```
data_CsScTe2
_chemical_formula_sum 'Cs4 Sc4 Te8'
_cell_length_a 8.703
_cell_length_b 13.588
_cell_length_c 7.022
_cell_angle_alpha 90.00
_cell_angle_beta 114.64
_cell_angle_gamma 90.00
_space_group_name_H-M_alt 'P 1'
_space_group_IT_number 1
loop_
_space_group_symop_operation_xyz
'x,y,z'
loop_
_atom_site_label
_atom_site_type_symbol
_atom_site_fract_x
_atom_site_fract_y
_atom_site_fract_z
_atom_site_occupancy
Cs1 Cs 0.000 0.142 0.250 1
Cs2 Cs 0.000 0.858 0.750 1
Cs3 Cs 0.500 0.358 0.750 1
Cs4 Cs 0.500 0.642 0.250 1
Sc1 Sc 0.000 0.493 0.750 1
Sc2 Sc 0.000 0.507 0.250 1
Sc3 Sc 0.500 0.007 0.250 1
Sc4 Sc 0.500 0.993 0.750 1
Te1 Te 0.202 0.392 0.115 1
Te2 Te 0.202 0.608 0.615 1
Te3 Te 0.298 0.108 0.885 1
Te4 Te 0.298 0.892 0.385 1
Te5 Te 0.702 0.108 0.615 1
Te6 Te 0.702 0.892 0.115 1
Te7 Te 0.798 0.392 0.385 1
Te8 Te 0.798 0.608 0.885 1
```

Calculated values
ΔE_f (raw) = -1179.0 meV/atom
Energy = -72.7 eV for the cell shown
DOS at the Fermi energy = 0.0 states/eV/cell
Crystal system = monoclinic


Entry 7:
Computed, not measured: a geometry-optimized LiAc3Sn2Pd6 structure at the GGA-PBE level of DFT.

Cell and atoms, written as CIF:
```
data_LiAc3Sn2Pd6
_chemical_formula_sum 'Li1 Ac3 Sn2 Pd6'
_cell_length_a 6.051
_cell_length_b 6.051
_cell_length_c 8.788
_cell_angle_alpha 90.00
_cell_angle_beta 90.00
_cell_angle_gamma 120.00
_space_group_name_H-M_alt 'P 1'
_space_group_IT_number 1
loop_
_space_group_symop_operation_xyz
'x,y,z'
loop_
_atom_site_label
_atom_site_type_symbol
_atom_site_fract_x
_atom_site_fract_y
_atom_site_fract_z
_atom_site_occupancy
Li1 Li 0.000 0.000 0.000 1
Ac1 Ac 0.000 0.000 0.500 1
Ac2 Ac 0.333 0.667 0.143 1
Ac3 Ac 0.667 0.333 0.857 1
Sn1 Sn 0.333 0.667 0.556 1
Sn2 Sn 0.667 0.333 0.444 1
Pd1 Pd 0.171 0.342 0.805 1
Pd2 Pd 0.171 0.829 0.805 1
Pd3 Pd 0.342 0.171 0.195 1
Pd4 Pd 0.658 0.829 0.805 1
Pd5 Pd 0.829 0.171 0.195 1
Pd6 Pd 0.829 0.658 0.195 1
```

Calculated values
Energy = -61.6 eV for the cell shown
DOS at the Fermi energy = 5.5 states/eV/cell
Energy of formation = -0.683 eV per atom
Crystal system = trigonal


Entry 8:
Computed, not measured: a geometry-optimized CsCd4In structure at the GGA-PBE level of DFT.

Cell and atoms, written as CIF:
```
data_CsCd4In
_chemical_formula_sum 'Cs1 Cd4 In1'
_cell_length_a 6.371
_cell_length_b 6.371
_cell_length_c 6.371
_cell_angle_alpha 60.00
_cell_angle_beta 60.00
_cell_angle_gamma 60.00
_space_group_name_H-M_alt 'P 1'
_space_group_IT_number 1
loop_
_space_group_symop_operation_xyz
'x,y,z'
loop_
_atom_site_label
_atom_site_type_symbol
_atom_site_fract_x
_atom_site_fract_y
_atom_site_fract_z
_atom_site_occupancy
Cs1 Cs 0.000 0.000 0.000 1
Cd1 Cd 0.377 0.377 0.377 1
Cd2 Cd 0.377 0.377 0.869 1
Cd3 Cd 0.377 0.869 0.377 1
Cd4 Cd 0.869 0.377 0.377 1
In1 In 0.750 0.750 0.750 1
```

Calculated values
Energy = -7.0 eV for the cell shown
Energy above the lowest structure with this stoichiometry = 0.083 eV/atom
DOS at the Fermi energy = 5.5 states/eV/cell
Energy of formation = 0.042 eV per atom
Crystal system = cubic